(1)
# Co2HOs | the Alexandria database | GGA-PBE | relaxed
# Calculated total energy, eV for the cell shown: -54.378
data_Co2HOs
_chemical_formula_sum 'Co4 H2 Os2'
_space_group_name_H-M_alt 'P 1'
_space_group_IT_number 1
_cell_length_a 5.346
_cell_length_b 5.346
_cell_length_c 4.658
_cell_angle_alpha 54.98
_cell_angle_beta 54.98
_cell_angle_gamma 90.00
loop_
_space_group_symop_operation_xyz
'x,y,z'
loop_
_atom_site_label
_atom_site_type_symbol
_atom_site_fract_x
_atom_site_fract_y
_atom_site_fract_z
Co1 Co 0.501 0.125 0.250
Co2 Co 0.249 0.625 0.250
Co3 Co 0.375 0.499 0.750
Co4 Co 0.875 0.751 0.750
Os1 Os 0.000 0.000 0.000
Os2 Os 0.750 0.250 0.500
H1 H 0.500 0.500 0.000
H2 H 0.250 0.750 0.500



(2)
# LuZrFeTc | the Alexandria database | GGA-PBE | relaxed
# Calculated total energy, eV for the cell shown: -32.266
# Formation energy, eV/atom: -0.0920
data_LuZrFeTc
_chemical_formula_sum 'Lu1 Zr1 Fe1 Tc1'
_space_group_name_H-M_alt 'P 1'
_space_group_IT_number 1
_cell_length_a 4.650
_cell_length_b 4.650
_cell_length_c 4.650
_cell_angle_alpha 60.00
_cell_angle_beta 60.00
_cell_angle_gamma 60.00
loop_
_space_group_symop_operation_xyz
'x,y,z'
loop_
_atom_site_label
_atom_site_type_symbol
_atom_site_fract_x
_atom_site_fract_y
_atom_site_fract_z
Lu1 Lu 0.750 0.750 0.750
Tc1 Tc 0.500 0.500 0.500
Zr1 Zr 0.250 0.250 0.250
Fe1 Fe 0.000 0.000 0.000



(3)
# Tm2NiTe | the Alexandria database | GGA-PBE | relaxed
# Calculated total energy, eV for the cell shown: -42.374
# Excess energy over the best structure of this formula in the dataset, eV per atom: 0.000
# Raw formation energy, eV per atom: -0.83
data_Tm2NiTe
_chemical_formula_sum 'Tm4 Ni2 Te2'
_space_group_name_H-M_alt 'P 1'
_space_group_IT_number 1
_cell_length_a 4.291
_cell_length_b 3.967
_cell_length_c 11.391
_cell_angle_alpha 100.03
_cell_angle_beta 90.00
_cell_angle_gamma 90.00
loop_
_space_group_symop_operation_xyz
'x,y,z'
loop_
_atom_site_label
_atom_site_type_symbol
_atom_site_fract_x
_atom_site_fract_y
_atom_site_fract_z
Tm1 Tm 0.750 0.655 0.310
Tm2 Tm 0.250 0.345 0.690
Tm3 Tm 0.750 0.944 0.888
Tm4 Tm 0.250 0.056 0.112
Ni1 Ni 0.250 0.467 0.934
Ni2 Ni 0.750 0.533 0.066
Te1 Te 0.250 0.195 0.391
Te2 Te 0.750 0.805 0.609



(4)
# Nd2Cu12Ni3Rh | the Alexandria database | GGA-PBE | relaxed
# Calculated total energy, eV for the cell shown: -74.186
# Formation energy, eV/atom: 0.5111
data_Nd2Cu12Ni3Rh
_chemical_formula_sum 'Nd2 Cu12 Ni3 Rh1'
_space_group_name_H-M_alt 'P 1'
_space_group_IT_number 1
_cell_length_a 7.361
_cell_length_b 7.361
_cell_length_c 7.361
_cell_angle_alpha 65.49
_cell_angle_beta 65.49
_cell_angle_gamma 65.49
loop_
_space_group_symop_operation_xyz
'x,y,z'
loop_
_atom_site_label
_atom_site_type_symbol
_atom_site_fract_x
_atom_site_fract_y
_atom_site_fract_z
Nd1 Nd 0.612 0.612 0.612
Nd2 Nd 0.388 0.388 0.388
Cu1 Cu 0.355 0.355 0.882
Cu2 Cu 0.866 0.866 0.374
Cu3 Cu 0.374 0.866 0.866
Cu4 Cu 0.882 0.355 0.355
Cu5 Cu 0.866 0.374 0.866
Cu6 Cu 0.355 0.882 0.355
Cu7 Cu 0.645 0.645 0.118
Cu8 Cu 0.134 0.134 0.626
Cu9 Cu 0.626 0.134 0.134
Cu10 Cu 0.118 0.645 0.645
Cu11 Cu 0.134 0.626 0.134
Cu12 Cu 0.645 0.118 0.645
Ni1 Ni 0.500 0.000 0.000
Ni2 Ni 0.000 0.500 0.000
Ni3 Ni 0.000 0.000 0.500
Rh1 Rh 0.000 0.000 0.000



(5)
# CeCuRu2 | the Alexandria database | GGA-PBE | relaxed
# Calculated total energy, eV for the cell shown: -28.937
# Excess energy over the best structure of this formula in the dataset, eV per atom: 0.057
# Formation energy, eV/atom: -0.0889
data_CeCuRu2
_chemical_formula_sum 'Ce1 Cu1 Ru2'
_space_group_name_H-M_alt 'P 1'
_space_group_IT_number 1
_cell_length_a 3.837
_cell_length_b 4.124
_cell_length_c 4.124
_cell_angle_alpha 90.00
_cell_angle_beta 90.00
_cell_angle_gamma 90.00
loop_
_space_group_symop_operation_xyz
'x,y,z'
loop_
_atom_site_label
_atom_site_type_symbol
_atom_site_fract_x
_atom_site_fract_y
_atom_site_fract_z
Ru1 Ru 0.000 0.000 0.500
Ru2 Ru 0.000 0.500 0.000
Ce1 Ce 0.500 0.500 0.500
Cu1 Cu 0.500 0.000 0.000



(6)
# Zr2BeIn2 | the Alexandria database | GGA-PBE | relaxed
# Calculated total energy, eV for the cell shown: -52.445
# Excess energy over the best structure of this formula in the dataset, eV per atom: 0.000
# Formation energy, eV/atom: 0.0153
data_Zr2BeIn2
_chemical_formula_sum 'Zr4 Be2 In4'
_space_group_name_H-M_alt 'P 1'
_space_group_IT_number 1
_cell_length_a 6.672
_cell_length_b 6.672
_cell_length_c 4.654
_cell_angle_alpha 90.00
_cell_angle_beta 90.00
_cell_angle_gamma 90.00
loop_
_space_group_symop_operation_xyz
'x,y,z'
loop_
_atom_site_label
_atom_site_type_symbol
_atom_site_fract_x
_atom_site_fract_y
_atom_site_fract_z
Be1 Be 0.000 0.000 0.000
Be2 Be 0.500 0.500 0.000
Zr1 Zr 0.166 0.666 0.500
Zr2 Zr 0.666 0.834 0.500
Zr3 Zr 0.834 0.334 0.500
Zr4 Zr 0.334 0.166 0.500
In1 In 0.352 0.852 0.000
In2 In 0.852 0.648 0.000
In3 In 0.648 0.148 0.000
In4 In 0.148 0.352 0.000